Density functional theory data (PBE) for a relaxed structure of Ce5HgSb4.

```
Ce5HgSb4
1.0
-5.031 5.031 3.180
5.031 -5.031 3.180
5.031 5.031 -3.180
Ce Hg Sb
5 1 4
Cartesian
0.000 0.000 0.000
6.066 1.959 0.004
1.959 3.996 0.004
3.072 1.035 3.184
-1.035 3.072 3.184
0.000 0.000 3.180
3.016 1.015 0.004
4.015 -2.015 3.184
1.015 7.046 0.004
2.015 4.015 3.184
```

Properties
VASP energy   -5.468 eV/atom
Crystal system   tetragonal
Total magnetization   5.1 Bohr magnetons per cell
DOS at the Fermi energy   36.8 states/eV/f.u.
ΔE_f (raw)   -0.82 eV/atom
Mass density   7.2 g/cm³